Entry from OQMD: a geometry-optimized Sr2PtAu structure (PBE).

Values from the calculation:
DFT total energy = -15.713 eV for the cell shown
Total moment = 0.00 μB per cell
Symmetry = P4/mmm, No. 123

Unit cell a=3.726 b=3.726 c=7.521 alpha=90.00 beta=90.00 gamma=90.00
Atoms (fractional coordinates):
Sr (0.500, 0.500, 0.264)
Pt (0.000, 0.000, 0.500)
Sr (0.500, 0.500, 0.736)
Au (0.000, 0.000, 0.000)

***

Entry from OQMD: a geometry-optimized Sr2Tl4PtAu structure (PBE).

Values from the calculation:
DFT total energy = -25.457 eV for the cell shown
Total moment = 0.00 μB per cell
Symmetry = Amm2, No. 38

Unit cell a=8.161 b=6.072 c=6.072 alpha=44.49 beta=90.00 gamma=90.00
Atoms (fractional coordinates):
Pt (0.500, 0.783, 0.783)
Tl (0.695, 0.358, 0.358)
Sr (0.500, 0.068, 0.068)
Tl (0.205, 0.640, 0.640)
Sr (0.000, 0.932, 0.932)
Tl (0.795, 0.640, 0.640)
Tl (0.305, 0.358, 0.358)
Au (0.000, 0.220, 0.220)

***

Entry from OQMD: a geometry-optimized TbPt4Au structure (PBE).

Values from the calculation:
DFT total energy = -36.489 eV for the cell shown
Total moment = 0.00 μB per cell
Symmetry = F-43m, No. 216

Unit cell a=5.344 b=5.344 c=5.344 alpha=60.00 beta=60.00 gamma=60.00
Atoms (fractional coordinates):
Pt (0.625, 0.124, 0.625)
Au (0.000, 0.000, 0.000)
Pt (0.124, 0.625, 0.625)
Pt (0.625, 0.625, 0.124)
Pt (0.625, 0.625, 0.625)
Tb (0.250, 0.250, 0.250)